# GGA-PBEsol ZrFeRh, optimized geometry
data_ZrFeRh
_chemical_formula_sum 'Zr1 Fe1 Rh1'
_symmetry_space_group_name_H-M 'P 1'
_symmetry_Int_Tables_number 1
_cell_length_a 3.205
_cell_length_b 3.205
_cell_length_c 5.015
_cell_angle_alpha 108.64
_cell_angle_beta 108.64
_cell_angle_gamma 90.00
loop_
_symmetry_equiv_pos_as_xyz
'x,y,z'
loop_
_atom_site_label
_atom_site_type_symbol
_atom_site_fract_x
_atom_site_fract_y
_atom_site_fract_z
_atom_site_occupancy
Rh1 Rh 0.661 0.661 0.322 1
Fe1 Fe 0.006 0.006 0.011 1
Zr1 Zr 0.334 0.334 0.667 1
# Symmetry   No. 107
# E_tot   -26.93 eV for the cell shown
# Magnetization   2.7 μB per formula unit

# GGA-PBEsol MgNiH2, optimized geometry
data_MgNiH2
_chemical_formula_sum 'Mg1 Ni1 H2'
_symmetry_space_group_name_H-M 'P 1'
_symmetry_Int_Tables_number 1
_cell_length_a 3.107
_cell_length_b 3.258
_cell_length_c 3.258
_cell_angle_alpha 90.00
_cell_angle_beta 90.00
_cell_angle_gamma 90.00
loop_
_symmetry_equiv_pos_as_xyz
'x,y,z'
loop_
_atom_site_label
_atom_site_type_symbol
_atom_site_fract_x
_atom_site_fract_y
_atom_site_fract_z
_atom_site_occupancy
Mg1 Mg 0.000 0.000 0.000 1
H1 H 0.500 0.500 0.000 1
H2 H 0.500 0.000 0.500 1
Ni1 Ni 0.500 0.500 0.500 1
# Symmetry   No. 123
# E_tot   -15.41 eV for the cell shown
# Magnetization   0.0 μB per formula unit

# GGA-PBEsol RhWAu2, optimized geometry
data_RhWAu2
_chemical_formula_sum 'Rh1 W1 Au2'
_symmetry_space_group_name_H-M 'P 1'
_symmetry_Int_Tables_number 1
_cell_length_a 4.449
_cell_length_b 4.449
_cell_length_c 4.449
_cell_angle_alpha 60.00
_cell_angle_beta 60.00
_cell_angle_gamma 60.00
loop_
_symmetry_equiv_pos_as_xyz
'x,y,z'
loop_
_atom_site_label
_atom_site_type_symbol
_atom_site_fract_x
_atom_site_fract_y
_atom_site_fract_z
_atom_site_occupancy
W1 W 0.500 0.500 0.500 1
Au1 Au 0.250 0.250 0.250 1
Au2 Au 0.750 0.750 0.750 1
Rh1 Rh 0.000 0.000 0.000 1
# Symmetry   No. 225
# E_tot   -28.38 eV for the cell shown
# Energy above the lowest structure with this stoichiometry   0.152 eV per atom
# Magnetization   0.0 μB per formula unit

# GGA-PBEsol Ba2AlFe, optimized geometry
data_Ba2AlFe
_chemical_formula_sum 'Ba2 Al1 Fe1'
_symmetry_space_group_name_H-M 'P 1'
_symmetry_Int_Tables_number 1
_cell_length_a 3.520
_cell_length_b 3.520
_cell_length_c 9.450
_cell_angle_alpha 90.00
_cell_angle_beta 90.00
_cell_angle_gamma 90.00
loop_
_symmetry_equiv_pos_as_xyz
'x,y,z'
loop_
_atom_site_label
_atom_site_type_symbol
_atom_site_fract_x
_atom_site_fract_y
_atom_site_fract_z
_atom_site_occupancy
Ba1 Ba 0.000 0.000 0.918 1
Ba2 Ba 0.500 0.500 0.331 1
Al1 Al 0.500 0.500 0.661 1
Fe1 Fe 0.000 0.000 0.590 1
# Symmetry   No. 99
# E_tot   -16.21 eV for the cell shown
# Magnetization   1.9 μB per formula unit

# GGA-PBEsol CsNaMg2N, optimized geometry
data_CsNaMg2N
_chemical_formula_sum 'Cs1 Na1 Mg2 N1'
_symmetry_space_group_name_H-M 'P 1'
_symmetry_Int_Tables_number 1
_cell_length_a 4.442
_cell_length_b 4.442
_cell_length_c 6.291
_cell_angle_alpha 90.00
_cell_angle_beta 90.00
_cell_angle_gamma 90.00
loop_
_symmetry_equiv_pos_as_xyz
'x,y,z'
loop_
_atom_site_label
_atom_site_type_symbol
_atom_site_fract_x
_atom_site_fract_y
_atom_site_fract_z
_atom_site_occupancy
Mg1 Mg 0.500 0.000 0.000 1
Mg2 Mg 0.000 0.500 0.000 1
Na1 Na 0.000 0.000 0.500 1
N1 N 0.000 0.000 0.000 1
Cs1 Cs 0.500 0.500 0.500 1
# Symmetry   No. 123
# Energy relative to the elements, uncorrected   0.256 eV/atom
# E_tot   -13.02 eV for the cell shown
# Magnetization   0.0 μB per formula unit

# GGA-PBEsol Li6HoB3O9, optimized geometry
data_Li6HoB3O9
_chemical_formula_sum 'Li24 Ho4 B12 O36'
_symmetry_space_group_name_H-M 'P 1'
_symmetry_Int_Tables_number 1
_cell_length_a 6.594
_cell_length_b 7.134
_cell_length_c 16.281
_cell_angle_alpha 90.00
_cell_angle_beta 90.00
_cell_angle_gamma 105.16
loop_
_symmetry_equiv_pos_as_xyz
'x,y,z'
loop_
_atom_site_label
_atom_site_type_symbol
_atom_site_fract_x
_atom_site_fract_y
_atom_site_fract_z
_atom_site_occupancy
Li1 Li 0.444 0.306 0.465 1
Li2 Li 0.556 0.694 0.535 1
Li3 Li 0.044 0.561 0.795 1
Li4 Li 0.323 0.928 0.495 1
Li5 Li 0.587 0.135 0.946 1
Li6 Li 0.330 0.456 0.970 1
Li7 Li 0.134 0.284 0.706 1
Li8 Li 0.366 0.716 0.206 1
Li9 Li 0.944 0.306 0.035 1
Li10 Li 0.634 0.284 0.794 1
Li11 Li 0.670 0.544 0.030 1
Li12 Li 0.456 0.439 0.295 1
Li13 Li 0.413 0.865 0.054 1
Li14 Li 0.956 0.439 0.205 1
Li15 Li 0.177 0.072 0.995 1
Li16 Li 0.170 0.544 0.470 1
Li17 Li 0.830 0.456 0.530 1
Li18 Li 0.544 0.561 0.705 1
Li19 Li 0.677 0.072 0.505 1
Li20 Li 0.056 0.694 0.965 1
Li21 Li 0.087 0.135 0.554 1
Li22 Li 0.913 0.865 0.446 1
Li23 Li 0.823 0.928 0.005 1
Li24 Li 0.866 0.716 0.294 1
O1 O 0.770 0.421 0.301 1
O2 O 0.837 0.148 0.186 1
O3 O 0.956 0.116 0.926 1
O4 O 0.471 0.010 0.175 1
O5 O 0.272 0.724 0.569 1
O6 O 0.663 0.852 0.686 1
O7 O 0.424 0.609 0.079 1
O8 O 0.675 0.091 0.053 1
O9 O 0.544 0.884 0.426 1
O10 O 0.228 0.276 0.069 1
O11 O 0.584 0.464 0.588 1
O12 O 0.916 0.536 0.088 1
O13 O 0.529 0.990 0.825 1
O14 O 0.084 0.464 0.912 1
O15 O 0.029 0.990 0.675 1
O16 O 0.175 0.091 0.447 1
O17 O 0.940 0.258 0.796 1
O18 O 0.440 0.258 0.704 1
O19 O 0.924 0.609 0.421 1
O20 O 0.560 0.742 0.296 1
O21 O 0.416 0.536 0.412 1
O22 O 0.728 0.276 0.431 1
O23 O 0.456 0.116 0.574 1
O24 O 0.337 0.148 0.314 1
O25 O 0.730 0.579 0.801 1
O26 O 0.044 0.884 0.074 1
O27 O 0.825 0.909 0.553 1
O28 O 0.060 0.742 0.204 1
O29 O 0.772 0.724 0.931 1
O30 O 0.325 0.909 0.947 1
O31 O 0.163 0.852 0.814 1
O32 O 0.076 0.391 0.579 1
O33 O 0.270 0.421 0.199 1
O34 O 0.971 0.010 0.325 1
O35 O 0.230 0.579 0.699 1
O36 O 0.576 0.391 0.921 1
B1 B 0.190 0.560 0.616 1
B2 B 0.838 0.914 0.636 1
B3 B 0.310 0.440 0.116 1
B4 B 0.503 0.715 0.379 1
B5 B 0.338 0.914 0.864 1
B6 B 0.690 0.560 0.884 1
B7 B 0.810 0.440 0.384 1
B8 B 0.162 0.086 0.364 1
B9 B 0.003 0.715 0.121 1
B10 B 0.997 0.285 0.879 1
B11 B 0.662 0.086 0.136 1
B12 B 0.497 0.285 0.621 1
Ho1 Ho 0.153 0.081 0.190 1
Ho2 Ho 0.653 0.081 0.310 1
Ho3 Ho 0.847 0.919 0.810 1
Ho4 Ho 0.347 0.919 0.690 1
# Symmetry   No. 14
# Energy relative to the elements, uncorrected   -2.512 eV/atom
# E_tot   -531.07 eV for the cell shown
# Magnetization   0.0 μB per formula unit

# GGA-PBEsol Nb2IrPb2, optimized geometry
data_Nb2IrPb2
_chemical_formula_sum 'Nb2 Ir1 Pb2'
_symmetry_space_group_name_H-M 'P 1'
_symmetry_Int_Tables_number 1
_cell_length_a 3.604
_cell_length_b 3.604
_cell_length_c 8.594
_cell_angle_alpha 102.10
_cell_angle_beta 102.10
_cell_angle_gamma 90.00
loop_
_symmetry_equiv_pos_as_xyz
'x,y,z'
loop_
_atom_site_label
_atom_site_type_symbol
_atom_site_fract_x
_atom_site_fract_y
_atom_site_fract_z
_atom_site_occupancy
Ir1 Ir 0.000 0.000 0.000 1
Nb1 Nb 0.250 0.750 0.500 1
Nb2 Nb 0.750 0.250 0.500 1
Pb1 Pb 0.406 0.406 0.811 1
Pb2 Pb 0.594 0.594 0.189 1
# Symmetry   No. 139
# E_tot   -35.13 eV for the cell shown
# Magnetization   0.0 μB per formula unit

# GGA-PBEsol HfSbTe2N, optimized geometry
data_HfSbTe2N
_chemical_formula_sum 'Hf1 Sb1 Te2 N1'
_symmetry_space_group_name_H-M 'P 1'
_symmetry_Int_Tables_number 1
_cell_length_a 3.869
_cell_length_b 5.632
_cell_length_c 5.632
_cell_angle_alpha 90.00
_cell_angle_beta 90.00
_cell_angle_gamma 90.00
loop_
_symmetry_equiv_pos_as_xyz
'x,y,z'
loop_
_atom_site_label
_atom_site_type_symbol
_atom_site_fract_x
_atom_site_fract_y
_atom_site_fract_z
_atom_site_occupancy
Te1 Te 0.000 0.500 0.000 1
Te2 Te 0.000 0.000 0.500 1
Sb1 Sb 0.000 0.000 0.000 1
N1 N 0.500 0.000 0.000 1
Hf1 Hf 0.500 0.500 0.500 1
# Symmetry   No. 123
# Energy relative to the elements, uncorrected   0.827 eV/atom
# E_tot   -26.50 eV for the cell shown
# Magnetization   0.0 μB per formula unit

# GGA-PBEsol Li2AlSe, optimized geometry
data_Li2AlSe
_chemical_formula_sum 'Li2 Al1 Se1'
_symmetry_space_group_name_H-M 'P 1'
_symmetry_Int_Tables_number 1
_cell_length_a 3.027
_cell_length_b 3.027
_cell_length_c 7.530
_cell_angle_alpha 90.00
_cell_angle_beta 90.00
_cell_angle_gamma 90.00
loop_
_symmetry_equiv_pos_as_xyz
'x,y,z'
loop_
_atom_site_label
_atom_site_type_symbol
_atom_site_fract_x
_atom_site_fract_y
_atom_site_fract_z
_atom_site_occupancy
Li1 Li 0.000 0.000 0.712 1
Li2 Li 0.000 0.000 0.288 1
Se1 Se 0.500 0.500 0.500 1
Al1 Al 0.500 0.500 0.000 1
# Symmetry   No. 123
# Energy relative to the elements, uncorrected   -0.386 eV/atom
# E_tot   -13.42 eV for the cell shown
# Energy above the lowest structure with this stoichiometry   0.022 eV per atom
# Magnetization   0.0 μB per formula unit

# GGA-PBEsol Ta2MnAg, optimized geometry
data_Ta2MnAg
_chemical_formula_sum 'Ta2 Mn1 Ag1'
_symmetry_space_group_name_H-M 'P 1'
_symmetry_Int_Tables_number 1
_cell_length_a 2.830
_cell_length_b 4.884
_cell_length_c 4.932
_cell_angle_alpha 101.80
_cell_angle_beta 90.00
_cell_angle_gamma 106.84
loop_
_symmetry_equiv_pos_as_xyz
'x,y,z'
loop_
_atom_site_label
_atom_site_type_symbol
_atom_site_fract_x
_atom_site_fract_y
_atom_site_fract_z
_atom_site_occupancy
Ta1 Ta 0.751 0.502 0.265 1
Ta2 Ta 0.990 0.980 0.975 1
Mn1 Mn 0.250 0.500 0.763 1
Ag1 Ag 0.508 0.017 0.497 1
# Symmetry   No. 8
# E_tot   -36.82 eV for the cell shown
# Energy above the lowest structure with this stoichiometry   0.103 eV per atom
# Magnetization   1.9 μB per formula unit

# GGA-PBEsol YTlSb2, optimized geometry
data_YTlSb2
_chemical_formula_sum 'Y1 Tl1 Sb2'
_symmetry_space_group_name_H-M 'P 1'
_symmetry_Int_Tables_number 1
_cell_length_a 4.088
_cell_length_b 4.088
_cell_length_c 6.408
_cell_angle_alpha 90.00
_cell_angle_beta 90.00
_cell_angle_gamma 90.00
loop_
_symmetry_equiv_pos_as_xyz
'x,y,z'
loop_
_atom_site_label
_atom_site_type_symbol
_atom_site_fract_x
_atom_site_fract_y
_atom_site_fract_z
_atom_site_occupancy
Sb1 Sb 0.000 0.000 0.270 1
Sb2 Sb 0.000 0.000 0.730 1
Tl1 Tl 0.500 0.500 0.000 1
Y1 Y 0.500 0.500 0.500 1
# Symmetry   No. 123
# Energy relative to the elements, uncorrected   -0.542 eV/atom
# E_tot   -20.73 eV for the cell shown
# Energy above the lowest structure with this stoichiometry   0.000 eV per atom
# Magnetization   0.0 μB per formula unit

# GGA-PBEsol Te2POs, optimized geometry
data_Te2POs
_chemical_formula_sum 'Te4 P2 Os2'
_symmetry_space_group_name_H-M 'P 1'
_symmetry_Int_Tables_number 1
_cell_length_a 6.678
_cell_length_b 6.534
_cell_length_c 6.678
_cell_angle_alpha 59.27
_cell_angle_beta 90.00
_cell_angle_gamma 120.73
loop_
_symmetry_equiv_pos_as_xyz
'x,y,z'
loop_
_atom_site_label
_atom_site_type_symbol
_atom_site_fract_x
_atom_site_fract_y
_atom_site_fract_z
_atom_site_occupancy
Te1 Te 0.101 0.750 0.875 1
Te2 Te 0.875 0.250 0.649 1
Te3 Te 0.375 0.250 0.101 1
Te4 Te 0.649 0.750 0.375 1
Os1 Os 0.750 0.500 0.750 1
Os2 Os 0.000 0.000 0.000 1
P1 P 0.250 0.500 0.250 1
P2 P 0.500 0.000 0.500 1
# Symmetry   No. 122
# Energy relative to the elements, uncorrected   0.734 eV/atom
# E_tot   -44.25 eV for the cell shown
# Energy above the lowest structure with this stoichiometry   0.216 eV per atom
# Magnetization   0.0 μB per formula unit

Number 1: volume 15.3 A^3/atom. Number 2: volume 8.2 A^3/atom. Number 3: volume 15.6 A^3/atom. Number 4: volume 29.3 A^3/atom. Number 5: volume 24.8 A^3/atom. Number 6: volume 9.7 A^3/atom. Number 7: volume 21.3 A^3/atom. Number 8: volume 24.5 A^3/atom. Number 9: volume 17.2 A^3/atom. Number 10: volume 15.9 A^3/atom. Number 11: volume 26.8 A^3/atom. Number 12: volume 25.2 A^3/atom.